# SrSiBr

An optimized crystal structure of SrSiBr (PBEsol, Alexandria via LeMat-Bulk).

DOS(E_F), states/eV per cell: 2.141
Total moment, μB per atom: 0.273
Formation energy (no corrections), meV/atom: -356
E, eV per atom: -3.5087

a b c (Å): 6.348 6.348 6.348
angles (deg): 145.11 145.11 50.16
Fractional positions:
Sr 0.000 0.000 0.000
Si 0.670 0.670 0.000
Br 0.369 0.369 0.000